*i*
This record from the Alexandria database describes a relaxed ReAgMo2 crystal. The functional is PBEsol.

The space group is Cm (No. 8) and the conventional cell measures 9.292, 2.660 and 4.996 Å, with angles of 90.00, 97.16 and 90.00 degrees. Symmetry generates all atoms from Re at (0.000, 0.000, 0.000), Ag at (0.251, 0.000, 0.742), Mo at (0.001, 0.500, 0.501) and Mo at (0.250, 0.500, 0.239).

The value obtained for the calculated volume is 15.3 A^3/atom.

*ii*
This record from the Alexandria database describes a relaxed ReAgMo2 crystal. The functional is PBEsol.

The space group is Cmmm (No. 65) and the conventional cell measures 3.142, 4.341 and 9.065 Å, with angles of 90.00, 90.00 and 90.00 degrees. Symmetry generates all atoms from Re at (0.000, 0.000, 0.000), Ag at (0.000, 0.000, 0.500) and Mo at (0.000, 0.500, 0.238).

The value obtained for the calculated volume is 15.5 A^3/atom.

Which one is most stable, and which one is least stable? *ii* is the most stable of them, while *i* is the least stable.

*i*
This record from the Alexandria database describes a relaxed Re2AgMo crystal. The functional is PBEsol.

The space group is Cm (No. 8) and the conventional cell measures 9.283, 2.793 and 4.764 Å, with angles of 90.00, 101.21 and 90.00 degrees. Symmetry generates all atoms from Re at (0.000, 0.000, 0.000), Re at (0.240, 0.500, 0.220), Ag at (0.243, 0.000, 0.726) and Mo at (0.485, 0.000, 0.468).

The value obtained for the calculated volume is 15.1 A^3/atom.

*ii*
This record from the Alexandria database describes a relaxed Re2AgMo crystal. The functional is PBEsol.

The space group is Cmm2 (No. 35) and the conventional cell measures 3.046, 4.370 and 9.225 Å, with angles of 90.00, 90.00 and 90.00 degrees. Symmetry generates all atoms from Re at (0.000, 0.000, 0.000), Re at (0.000, 0.500, 0.236), Ag at (0.000, 0.500, 0.737) and Mo at (0.000, 0.000, 0.474).

The value obtained for the calculated volume is 15.3 A^3/atom.

Which one is most stable, and which one is least stable? *ii* is the most stable of them, while *i* is the least stable.

*i*
This record from the Alexandria database describes a relaxed Ag2MoRu crystal. The functional is PBEsol.

The space group is F-43m (No. 216) and the conventional cell measures 6.268, 6.268 and 6.268 Å, with angles of 90.00, 90.00 and 90.00 degrees. Symmetry generates all atoms from Ag at (0.000, 0.000, 0.000), Ag at (0.250, 0.250, 0.250), Mo at (0.000, 0.000, 0.500) and Ru at (0.250, 0.250, 0.750).

The value obtained for the calculated volume is 15.4 A^3/atom.

*ii*
This record from the Alexandria database describes a relaxed Ag2MoRu crystal. The functional is PBEsol.

The space group is P2/m (No. 10) and the conventional cell measures 2.672, 4.420 and 5.160 Å, with angles of 90.00, 90.10 and 90.00 degrees. Symmetry generates all atoms from Ag at (0.000, 0.000, 0.249), Mo at (0.500, 0.500, 0.500) and Ru at (0.500, 0.500, 0.000).

The value obtained for the calculated volume is 15.2 A^3/atom.

Which one is most stable, and which one is least stable? *ii* is the most stable of them, while *i* is the least stable.

*i*
This record from the Alexandria database describes a relaxed AgSb2Mo crystal. The functional is PBEsol.

The space group is P4/mmm (No. 123) and the conventional cell measures 3.443, 3.443 and 6.601 Å, with angles of 90.00, 90.00 and 90.00 degrees. Symmetry generates all atoms from Ag at (0.000, 0.000, 0.000), Sb at (0.500, 0.500, 0.270) and Mo at (0.000, 0.000, 0.500).

The value obtained for the calculated volume is 19.6 A^3/atom.

*ii*
This record from the Alexandria database describes a relaxed AgSb2Mo crystal. The functional is PBEsol.

The space group is C2/m (No. 12) and the conventional cell measures 8.892, 3.303 and 5.556 Å, with angles of 90.00, 100.42 and 90.00 degrees. Symmetry generates all atoms from Ag at (0.000, 0.000, 0.000), Sb at (0.233, 0.000, 0.723) and Mo at (0.000, 0.500, 0.500).

The value obtained for the calculated volume is 20.1 A^3/atom.

Which one is most stable, and which one is least stable? *i* is the most stable of them, while *ii* is the least stable.

*i*
This record from the Alexandria database describes a relaxed AgMoSe2 crystal. The functional is PBEsol.

The space group is P4/mmm (No. 123) and the conventional cell measures 4.552, 4.552 and 3.243 Å, with angles of 90.00, 90.00 and 90.00 degrees. Symmetry generates all atoms from Ag at (0.000, 0.000, 0.000), Mo at (0.500, 0.500, 0.000) and Se at (0.000, 0.500, 0.500).

The value obtained for the calculated volume is 16.8 A^3/atom.

*ii*
This record from the Alexandria database describes a relaxed AgMoSe2 crystal. The functional is PBEsol.

The space group is R-3m (No. 166, hexagonal axes) and the conventional cell measures 2.8026, 2.8026 and 32.9726 Å, with angles of 90.00, 90.00 and 120.00 degrees. Symmetry generates all atoms from Ag at (0.0000, 0.0000, 0.0000), Mo at (0.0000, 0.0000, 0.5000) and Se at (0.0000, 0.0000, 0.4226).

The value obtained for the calculated volume is 18.7 A^3/atom.

Which one is most stable, and which one is least stable? *i* is the most stable of them, while *ii* is the least stable.

*i*
This record from the Alexandria database describes a relaxed Si2AgMo crystal. The functional is PBEsol.

The space group is I-4m2 (No. 119) and the conventional cell measures 3.646, 3.646 and 8.661 Å, with angles of 90.00, 90.00 and 90.00 degrees. Symmetry generates all atoms from Si at (0.000, 0.000, 0.000), Si at (0.000, 0.500, 0.250), Ag at (0.000, 0.000, 0.500) and Mo at (0.000, 0.500, 0.750).

The value obtained for the calculated volume is 14.4 A^3/atom.

*ii*
This record from the Alexandria database describes a relaxed Si2AgMo crystal. The functional is PBEsol.

The space group is P4/mmm (No. 123) and the conventional cell measures 2.745, 2.745 and 8.015 Å, with angles of 90.00, 90.00 and 90.00 degrees. Symmetry generates all atoms from Si at (0.000, 0.000, 0.226), Ag at (0.500, 0.500, 0.500) and Mo at (0.500, 0.500, 0.000).

The value obtained for the calculated volume is 15.1 A^3/atom.

*iii*
This record from the Alexandria database describes a relaxed Si2AgMo crystal. The functional is PBEsol.

The space group is P4/mmm (No. 123) and the conventional cell measures 3.191, 3.191 and 5.738 Å, with angles of 90.00, 90.00 and 90.00 degrees. Symmetry generates all atoms from Si at (0.000, 0.000, 0.223), Ag at (0.500, 0.500, 0.500) and Mo at (0.500, 0.500, 0.000).

The value obtained for the calculated volume is 14.6 A^3/atom.

*iv*
This record from the Alexandria database describes a relaxed Si2AgMo crystal. The functional is PBEsol.

The space group is I4/mmm (No. 139) and the conventional cell measures 3.884, 3.884 and 7.649 Å, with angles of 90.00, 90.00 and 90.00 degrees. Symmetry generates all atoms from Si at (0.000, 0.500, 0.250), Ag at (0.000, 0.000, 0.000) and Mo at (0.000, 0.000, 0.500).

The value obtained for the calculated volume is 14.4 A^3/atom.

Which one is most stable, and which one is least stable? *iii* is the most stable of them, while *ii* is the least stable.

*i*
This record from the Alexandria database describes a relaxed TaAg2Mo crystal. The functional is PBEsol.

The space group is Pmmm (No. 47) and the conventional cell measures 3.360, 4.147 and 4.664 Å, with angles of 90.00, 90.00 and 90.00 degrees. Symmetry generates all atoms from Ta at (0.000, 0.000, 0.000), Ag at (0.000, 0.500, 0.500), Ag at (0.500, 0.000, 0.500) and Mo at (0.500, 0.500, 0.000).

The value obtained for the calculated volume is 16.2 A^3/atom.

*ii*
This record from the Alexandria database describes a relaxed TaAg2Mo crystal. The functional is PBEsol.

The space group is C2/m (No. 12) and the conventional cell measures 5.330, 9.377 and 2.680 Å, with angles of 90.00, 103.49 and 90.00 degrees. Symmetry generates all atoms from Ta at (0.000, 0.000, 0.000), Ag at (0.250, 0.250, 0.500) and Mo at (0.000, 0.500, 0.000).

The value obtained for the calculated volume is 16.3 A^3/atom.

Which one is most stable, and which one is least stable? *i* is the most stable of them, while *ii* is the least stable.

*i*
This record from the Alexandria database describes a relaxed TcAg2Mo crystal. The functional is PBEsol.

The space group is P4/mmm (No. 123) and the conventional cell measures 3.695, 3.695 and 4.490 Å, with angles of 90.00, 90.00 and 90.00 degrees. Symmetry generates all atoms from Tc at (0.000, 0.000, 0.000), Ag at (0.000, 0.500, 0.500) and Mo at (0.500, 0.500, 0.000).

The value obtained for the calculated volume is 15.3 A^3/atom.

*ii*
This record from the Alexandria database describes a relaxed TcAg2Mo crystal. The functional is PBEsol.

The space group is P4mm (No. 99) and the conventional cell measures 2.962, 2.962 and 7.346 Å, with angles of 90.00, 90.00 and 90.00 degrees. Symmetry generates all atoms from Tc at (0.000, 0.000, 0.000), Ag at (0.000, 0.000, 0.530), Ag at (0.500, 0.500, 0.274) and Mo at (0.500, 0.500, 0.811).

The value obtained for the calculated volume is 16.1 A^3/atom.

*iii*
This record from the Alexandria database describes a relaxed TcAg2Mo crystal. The functional is PBEsol.

The space group is I-4m2 (No. 119) and the conventional cell measures 3.988, 3.988 and 7.693 Å, with angles of 90.00, 90.00 and 90.00 degrees. Symmetry generates all atoms from Tc at (0.000, 0.000, 0.000), Ag at (0.000, 0.000, 0.500), Ag at (0.000, 0.500, 0.250) and Mo at (0.000, 0.500, 0.750).

The value obtained for the calculated volume is 15.3 A^3/atom.

Which one is most stable, and which one is least stable? *ii* is the most stable of them, while *iii* is the least stable.